[1]
A relaxed structure of Zr2P2PbN6, computed with GGA-PBE.

The structure in POSCAR format:
```
Zr2P2PbN6
1.0
6.136 -0.003 0.001
3.060 5.135 -0.360
0.002 -3.193 5.502
N Zr P Pb
6 2 2 1
Direct
0.921 0.157 0.398
0.079 0.843 0.602
0.012 0.392 0.144
0.988 0.608 0.856
0.595 0.392 0.144
0.405 0.608 0.856
0.178 0.643 0.176
0.822 0.357 0.824
0.815 0.370 0.289
0.185 0.630 0.711
0.500 0.000 0.500
```

The value obtained for the uncorrected formation energy is -51.3 kJ per mole of atoms.



[2]
A relaxed structure of PPd3N, computed with GGA-PBE.

The structure in POSCAR format:
```
PPd3N
1.0
-0.606 -3.914 -1.252
3.235 -1.235 2.294
-2.534 -0.641 3.228
Pd P N
3 1 1
Direct
0.500 0.000 0.000
0.000 0.500 0.000
0.000 0.000 0.500
0.500 0.500 0.500
0.000 0.000 0.000
```

The distance to the lowest polymorph of the same formula comes out at 0 meV/atom. The value obtained for the uncorrected formation energy is 38.4 kJ per mole of atoms.



[3]
A relaxed structure of Pr2P2PdN6, computed with GGA-PBE.

The structure in POSCAR format:
```
Pr2P2PdN6
1.0
5.487 0.000 0.000
2.743 4.752 0.000
2.743 1.584 5.433
N Pr P Pd
6 2 2 1
Direct
0.749 0.749 0.260
0.251 0.758 0.740
0.242 0.749 0.260
0.749 0.242 0.260
0.251 0.251 0.740
0.758 0.251 0.740
0.784 0.784 0.648
0.216 0.216 0.352
0.432 0.432 0.704
0.568 0.568 0.296
0.000 0.000 0.000
```

The value obtained for the uncorrected formation energy is -46.7 kJ per mole of atoms.



[4]
A relaxed structure of PPdSN2, computed with GGA-PBE.

The structure in POSCAR format:
```
PPdSN2
1.0
-1.578 2.343 -1.739
-2.510 -0.081 2.168
3.041 4.794 3.700
S Pd N P
1 1 2 1
Direct
0.000 0.000 0.500
0.500 0.500 0.500
0.000 0.500 0.000
0.500 0.000 0.000
0.000 0.000 0.000
```

The distance to the lowest polymorph of the same formula comes out at 0 meV/atom. The value obtained for the uncorrected formation energy is 69.5 kJ per mole of atoms.



[5]
A relaxed structure of PPdS2N, computed with GGA-PBE.

The structure in POSCAR format:
```
PPdS2N
1.0
-3.193 2.052 2.772
-2.790 -3.757 -0.433
1.368 -1.309 2.544
Pd P N S
1 1 1 2
Direct
0.500 0.500 0.500
0.000 0.000 0.000
0.000 0.000 0.500
0.000 0.500 0.000
0.500 0.000 0.000
```

The distance to the lowest polymorph of the same formula comes out at 0 meV/atom. The value obtained for the uncorrected formation energy is 55.0 kJ per mole of atoms.



[6]
A relaxed structure of P2PdSN, computed with GGA-PBE.

The structure in POSCAR format:
```
P2PdSN
1.0
-1.793 -3.606 -0.291
3.323 -1.769 1.459
-1.490 0.425 3.908
P S Pd N
2 1 1 1
Direct
0.500 0.000 0.000
0.000 0.500 0.000
0.000 0.000 0.500
0.500 0.500 0.500
0.000 0.000 0.000
```

The distance to the lowest polymorph of the same formula comes out at 0 meV/atom. The value obtained for the uncorrected formation energy is 86.8 kJ per mole of atoms.



[7]
A relaxed structure of PPdS2N, computed with GGA-PBE.

The structure in POSCAR format:
```
PPdS2N
1.0
4.702 0.000 0.000
0.000 4.702 0.000
0.000 0.000 4.736
P S Pd N
1 2 1 1
Direct
0.000 0.000 0.500
0.500 0.000 0.000
0.000 0.500 0.000
0.000 0.000 0.000
0.500 0.500 0.500
```

The distance to the lowest polymorph of the same formula comes out at 1309 meV/atom. The value obtained for the uncorrected formation energy is 181.2 kJ per mole of atoms.



[8]
A relaxed structure of P2PdSN, computed with GGA-PBE.

The structure in POSCAR format:
```
P2PdSN
1.0
-3.291 3.197 0.256
-1.600 -1.320 -4.100
-2.839 -3.090 2.103
Pd N P S
1 1 2 1
Direct
0.000 0.000 0.000
0.500 0.500 0.500
0.000 0.500 0.000
0.500 0.000 0.000
0.000 0.000 0.500
```

The distance to the lowest polymorph of the same formula comes out at 1055 meV/atom. The value obtained for the uncorrected formation energy is 188.6 kJ per mole of atoms.